# PaS2O3F6 GGA-PBE relaxed
# ρ: 3910 kg/m3
# Total energy: -68.56 eV for the cell shown
data_PaS2O3F6
_space_group_name_H-M_alt 'P 1'
_space_group_IT_number 1
_cell_length_a 7.478
_cell_length_b 5.486
_cell_length_c 9.716
_cell_angle_alpha 106.40
_cell_angle_beta 145.74
_cell_angle_gamma 90.00
loop_
_space_group_symop_operation_xyz
'x,y,z'
loop_
_atom_site_label
_atom_site_type_symbol
_atom_site_fract_x
_atom_site_fract_y
_atom_site_fract_z
Pa1 Pa 0.500 0.000 0.000
F1 F 0.096 0.598 0.715
F2 F 0.096 0.117 0.715
O1 O 0.500 0.000 0.500
F3 F 0.399 0.078 0.156
S1 S 0.577 0.326 0.651
O2 O 0.500 0.500 0.500
F4 F 0.904 0.883 0.285
S2 S 0.423 0.674 0.349
O3 O 0.000 0.500 0.000
F5 F 0.904 0.402 0.285
F6 F 0.601 0.922 0.844